# Rb2TlPdO4 (PBE, relaxed)
# Raw formation energy (eV per formula unit): -5.8
data_Rb2TlPdO4
_chemical_formula_sum 'Rb16 Tl8 Pd8 O32'
_space_group_name_H-M_alt 'F d d d'
_space_group_IT_number 70
_cell_length_a 6.348
_cell_length_b 14.242
_cell_length_c 21.403
_cell_angle_alpha 90.00
_cell_angle_beta 90.00
_cell_angle_gamma 90.00
loop_
_space_group_symop_operation_xyz
'x,y,z'
'-x,-y,-z'
'-x+1/4,-y+1/4,z'
'x+1/4,y+1/4,-z'
'x,-y+1/4,-z+1/4'
'-x,y+1/4,z+1/4'
'-x+1/4,y,-z+1/4'
'x+1/4,-y,z+1/4'
'x,y+1/2,z+1/2'
'-x,-y+1/2,-z+1/2'
'-x+1/4,-y+3/4,z+1/2'
'x+1/4,y+3/4,-z+1/2'
'x,-y+3/4,-z+3/4'
'-x,y+3/4,z+3/4'
'-x+1/4,y+1/2,-z+3/4'
'x+1/4,-y+1/2,z+3/4'
'x+1/2,y,z+1/2'
'-x+1/2,-y,-z+1/2'
'-x+3/4,-y+1/4,z+1/2'
'x+3/4,y+1/4,-z+1/2'
'x+1/2,-y+1/4,-z+3/4'
'-x+1/2,y+1/4,z+3/4'
'-x+3/4,y,-z+3/4'
'x+3/4,-y,z+3/4'
'x+1/2,y+1/2,z'
'-x+1/2,-y+1/2,-z'
'-x+3/4,-y+3/4,z'
'x+3/4,y+3/4,-z'
'x+1/2,-y+3/4,-z+1/4'
'-x+1/2,y+3/4,z+1/4'
'-x+3/4,y+1/2,-z+1/4'
'x+3/4,-y+1/2,z+1/4'
loop_
_atom_site_label
_atom_site_type_symbol
_atom_site_fract_x
_atom_site_fract_y
_atom_site_fract_z
Rb1 Rb 0.125 0.125 0.306
Tl1 Tl 0.125 0.125 0.125
Pd1 Pd 0.125 0.125 0.625
O1 O 0.100 0.279 0.874

---

# Ba3TlHg3 (PBE, relaxed)
# Energy of formation (eV/atom): -0.443
data_Ba3TlHg3
_chemical_formula_sum 'Ba12 Tl4 Hg12'
_space_group_name_H-M_alt 'C 1 2/m 1'
_space_group_IT_number 12
_cell_length_a 12.646
_cell_length_b 5.000
_cell_length_c 17.625
_cell_angle_alpha 90.00
_cell_angle_beta 108.46
_cell_angle_gamma 90.00
loop_
_space_group_symop_operation_xyz
'x,y,z'
'-x,-y,-z'
'-x,y,-z'
'x,-y,z'
'x+1/2,y+1/2,z'
'-x+1/2,-y+1/2,-z'
'-x+1/2,y+1/2,-z'
'x+1/2,-y+1/2,z'
loop_
_atom_site_label
_atom_site_type_symbol
_atom_site_fract_x
_atom_site_fract_y
_atom_site_fract_z
Ba1 Ba 0.040 0.000 0.393
Ba2 Ba 0.101 0.000 0.921
Ba3 Ba 0.246 0.000 0.235
Tl1 Tl 0.243 0.500 0.396
Hg1 Hg 0.029 0.500 0.232
Hg2 Hg 0.112 0.500 0.078
Hg3 Hg 0.127 0.500 0.546

---

# DyHo4Ru2 (PBE, relaxed)
# Energy of formation (eV/atom): -0.267
data_DyHo4Ru2
_chemical_formula_sum 'Dy2 Ho8 Ru4'
_space_group_name_H-M_alt 'P 1 21/m 1'
_space_group_IT_number 11
_cell_length_a 7.738
_cell_length_b 6.308
_cell_length_c 7.878
_cell_angle_alpha 90.00
_cell_angle_beta 112.59
_cell_angle_gamma 90.00
loop_
_space_group_symop_operation_xyz
'x,y,z'
'-x,-y,-z'
'-x,y+1/2,-z'
'x,-y+1/2,z'
loop_
_atom_site_label
_atom_site_type_symbol
_atom_site_fract_x
_atom_site_fract_y
_atom_site_fract_z
Dy1 Dy 0.025 0.250 0.164
Ho1 Ho 0.243 0.501 0.585
Ho2 Ho 0.325 0.750 0.248
Ho3 Ho 0.378 0.250 0.020
Ru1 Ru 0.022 0.250 0.742
Ru2 Ru 0.414 0.250 0.375